VASP calculation (GGA-PBE) on a relaxed Pm3PrY2Tm6 crystal.

**VASP energy**: -4.88 eV per atom

Unit cell a=6.179 b=10.696 c=11.737 alpha=90.00 beta=100.07 gamma=90.00
Space group C2/m (No. 12)
One atom of each set of equivalent atoms:
Pm 0.000 0.000 0.000 x2
Pm 0.000 0.333 0.000 x4
Pr 0.000 0.500 0.500 x2
Y 0.000 0.167 0.500 x4
Tm 0.250 0.000 0.750 x4
Tm 0.250 0.167 0.250 x8



VASP calculation (GGA-PBE) on a relaxed PmPr6Y2Tm crystal.

**VASP energy**: -4.97 eV per atom

Unit cell a=9.502 b=15.365 c=9.636 alpha=90.00 beta=96.14 gamma=90.00
Space group C2/c (No. 15)
One atom of each set of equivalent atoms:
Pm 0.000 0.033 0.250 x4
Pr 0.061 0.175 0.942 x8
Pr 0.093 0.387 0.115 x8
Pr 0.219 0.221 0.312 x8
Y 0.249 0.454 0.449 x8
Tm 0.000 0.412 0.750 x4



VASP calculation (GGA-PBE) on a relaxed PmPrY3Tm crystal.

**VASP energy**: -5.54 eV per atom

Unit cell a=5.086 b=15.260 c=10.171 alpha=90.00 beta=90.00 gamma=90.00
Space group Cmcm (No. 63)
One atom of each set of equivalent atoms:
Pm 0.000 0.001 0.250 x4
Pr 0.000 0.500 0.000 x4
Y 0.000 0.168 0.000 x8
Y 0.000 0.332 0.250 x4
Tm 0.000 0.333 0.750 x4



VASP calculation (GGA-PBE) on a relaxed Pm2PrY5Tm crystal.

**VASP energy**: -5.43 eV per atom

Unit cell a=8.618 b=8.618 c=15.867 alpha=90.00 beta=90.00 gamma=90.00
Space group I4/mcm (No. 140)
One atom of each set of equivalent atoms:
Pm 0.119 0.381 0.000 x8
Pr 0.000 0.500 0.250 x4
Y 0.000 0.000 0.000 x4
Y 0.207 0.293 0.361 x16
Tm 0.000 0.000 0.250 x4



VASP calculation (GGA-PBE) on a relaxed Pm5PrY2Tm crystal.

**VASP energy**: -4.96 eV per atom

Unit cell a=5.720 b=20.300 c=10.639 alpha=90.00 beta=90.00 gamma=90.00
Space group Cmc2_1 (No. 36)
One atom of each set of equivalent atoms:
Pm 0.000 0.018 0.000 x4
Pm 0.000 0.281 0.293 x4
Pm 0.000 0.297 0.686 x4
Pm 0.000 0.387 0.001 x4
Pm 0.000 0.480 0.721 x4
Pr 0.000 0.413 0.434 x4
Y 0.000 0.114 0.712 x4
Y 0.000 0.116 0.298 x4
Tm 0.000 0.200 0.990 x4



VASP calculation (GGA-PBE) on a relaxed Pm6PrY2Tm3 crystal.

**VASP energy**: -4.95 eV per atom

Unit cell a=6.252 b=10.827 c=11.865 alpha=90.00 beta=100.09 gamma=90.00
Space group C2/m (No. 12)
One atom of each set of equivalent atoms:
Pm 0.248 0.000 0.246 x4
Pm 0.248 0.333 0.246 x8
Pr 0.000 0.000 0.500 x2
Y 0.000 0.333 0.500 x4
Tm 0.000 0.167 0.000 x4
Tm 0.000 0.500 0.000 x2